[1]
The following is a DFT calculation (PBE) of FeCuPtAu after structural relaxation.

* space-group type: F-43m, No. 216
* ρ: 14475 kg/m3
* calculated formation energy: -0.08 eV/f.u.
* total energy: -5.49 eV per atom

a b c (Å): 4.3616 4.3616 4.3616
angles (deg): 60.00 60.00 60.00
With the nearest neighbours (Å) after each atom.
Element x y z (fractional)
Cu (0.5000, 0.5000, 0.5000)  4 Au 2.67, 4 Pt 2.67
Fe (0.0000, 0.0000, 0.0000)  4 Pt 2.67, 4 Au 2.67
Au (0.2500, 0.2500, 0.2500)  4 Fe 2.67, 4 Cu 2.67
Pt (0.7500, 0.7500, 0.7500)  4 Fe 2.67, 4 Cu 2.67


[2]
The following is a DFT calculation (PBE) of FeCuRhAu after structural relaxation.

* space-group type: F-43m, No. 216
* ρ: 12201 kg/m3
* calculated formation energy: 0.22 eV/f.u.
* total energy: -5.74 eV per atom

a b c (Å): 4.3214 4.3214 4.3214
angles (deg): 60.00 60.00 60.00
With the nearest neighbours (Å) after each atom.
Element x y z (fractional)
Rh (0.0000, 0.0000, 0.0000)  4 Fe 2.65, 4 Cu 2.65
Au (0.5000, 0.5000, 0.5000)  4 Cu 2.65, 4 Fe 2.65
Cu (0.2500, 0.2500, 0.2500)  4 Rh 2.65, 4 Au 2.65
Fe (0.7500, 0.7500, 0.7500)  4 Au 2.65, 4 Rh 2.65


[3]
The following is a DFT calculation (PBE) of TiFeCuAu after structural relaxation.

* space-group type: F-43m, No. 216
* ρ: 10478 kg/m3
* calculated formation energy: -0.24 eV/f.u.
* total energy: -5.99 eV per atom

a b c (Å): 4.3379 4.3379 4.3379
angles (deg): 60.00 60.00 60.00
With the nearest neighbours (Å) after each atom.
Element x y z (fractional)
Ti (0.0000, 0.0000, 0.0000)  4 Fe 2.66, 4 Cu 2.66
Fe (0.2500, 0.2500, 0.2500)  4 Au 2.66, 4 Ti 2.66
Cu (0.7500, 0.7500, 0.7500)  4 Ti 2.66, 4 Au 2.66
Au (0.5000, 0.5000, 0.5000)  4 Fe 2.66, 4 Cu 2.66


[4]
The following is a DFT calculation (PBE) of TlFe2CuAu after structural relaxation.

* space-group type: P4/mmm, No. 123
* ρ: 9712 kg/m3
* calculated formation energy: 4.25 eV/f.u.
* total energy: -4.48 eV per atom

a b c (Å): 4.5258 4.8132 4.5258
angles (deg): 90.00 90.00 90.00
With the nearest neighbours (Å) after each atom.
Element x y z (fractional)
Fe (0.5000, 0.0000, 0.0000)  2 Cu 2.26
Au (0.0000, 0.5000, 0.0000)  2 Cu 2.41
Tl (0.5000, 0.5000, 0.5000)  4 Au 3.20, 8 Fe 3.30
Cu (0.0000, 0.0000, 0.0000)  4 Fe 2.26, 2 Au 2.41
Fe (0.0000, 0.0000, 0.5000)  2 Cu 2.26


Please write out number 2 again, unchanged.
The following is a DFT calculation (PBE) of FeCuRhAu after structural relaxation.

* space-group type: F-43m, No. 216
* ρ: 12201 kg/m3
* calculated formation energy: 0.22 eV/f.u.
* total energy: -5.74 eV per atom

a b c (Å): 4.3214 4.3214 4.3214
angles (deg): 60.00 60.00 60.00
With the nearest neighbours (Å) after each atom.
Element x y z (fractional)
Rh (0.0000, 0.0000, 0.0000)  4 Fe 2.65, 4 Cu 2.65
Au (0.5000, 0.5000, 0.5000)  4 Cu 2.65, 4 Fe 2.65
Cu (0.2500, 0.2500, 0.2500)  4 Rh 2.65, 4 Au 2.65
Fe (0.7500, 0.7500, 0.7500)  4 Au 2.65, 4 Rh 2.65


What is the calculated formation energy in the third record?
-0.24 eV/f.u.